(1)
HfNbHg | PBE-GGA | optimized geometry

Output
Formation energy from the elements: -0.05 eV per atom
Space-group type: P4/nmm
E above lowest polymorph: 0.00 eV per formula unit
Fermi-level density of states: 0.59 states/eV/atom

a = 3.3905 Å, b = 3.3905 Å, c = 10.8064 Å
α = 90.00°, β = 90.00°, γ = 90.00°
Closest atoms and distances in Å follow each position.
Sites, in units of the cell vectors:
Hf 0.7500 0.7500 0.2279  5 Nb 2.94-3.22, 4 Hg 3.08
Hf 0.2500 0.2500 0.7721  5 Nb 2.94-3.22, 4 Hg 3.08
Nb 0.2500 0.2500 0.0704  4 Nb 2.84, 4 Hf 2.94
Nb 0.7500 0.7500 0.9296  4 Nb 2.84, 4 Hf 2.94
Hg 0.2500 0.2500 0.4067  4 Hf 3.08, 8 Hg 3.13-3.39
Hg 0.7500 0.7500 0.5933  4 Hf 3.08, 8 Hg 3.13-3.39

(2)
Na2Te2I | PBE-GGA | optimized geometry

Output
Formation energy without anion corrections: -0.4395 eV/atom
Space-group type: P4/mbm
E above lowest polymorph: 0.71 eV per formula unit
Fermi-level density of states: 0.41 states/eV/atom

a = 8.6073 Å, b = 8.6073 Å, c = 4.4901 Å
α = 90.00°, β = 90.00°, γ = 90.00°
Closest atoms and distances in Å follow each position.
Sites, in units of the cell vectors:
Te 0.1776 0.3224 0.0000  2 I 3.17, 6 Na 3.18-3.54
Te 0.6776 0.1776 0.0000  2 I 3.17, 6 Na 3.18-3.54
Te 0.3224 0.8224 0.0000  2 I 3.17, 6 Na 3.18-3.54
Te 0.8224 0.6776 0.0000  2 I 3.17, 6 Na 3.18-3.54
I 0.0000 0.0000 0.0000  4 Te 3.17
I 0.5000 0.5000 0.0000  4 Te 3.17
Na 0.1374 0.6374 0.5000  6 Te 3.18-3.54, 1 Na 3.35
Na 0.8626 0.3626 0.5000  6 Te 3.18-3.54, 1 Na 3.35
Na 0.3626 0.1374 0.5000  6 Te 3.18-3.54, 1 Na 3.35
Na 0.6374 0.8626 0.5000  6 Te 3.18-3.54, 1 Na 3.35

(3)
Ba2NaHgPd | PBE-GGA | optimized geometry

Output
Formation energy from the elements: -0.30 eV per atom
Space-group type: P4/mmm
E above lowest polymorph: 0.00 eV per formula unit
Fermi-level density of states: 0.68 states/eV/atom

a = 6.1779 Å, b = 6.1779 Å, c = 5.4117 Å
α = 90.00°, β = 90.00°, γ = 90.00°
Closest atoms and distances in Å follow each position.
Sites, in units of the cell vectors:
Pd 0.0000 0.0000 0.0000  2 Hg 2.71
Na 0.5000 0.5000 0.5000  8 Ba 4.11, 4 Hg 4.37
Hg 0.0000 0.0000 0.5000  2 Pd 2.71
Ba 0.0000 0.5000 0.0000  2 Pd 3.09
Ba 0.5000 0.0000 0.0000  2 Pd 3.09

(4)
PmTh3Sb4 | PBE-GGA | optimized geometry

Output
Formation energy without anion corrections: -0.9851 eV/atom
Space-group type: P2/c
E above lowest polymorph: 0.00 eV per formula unit
Fermi-level density of states: 0.53 states/eV/atom

a = 7.8087 Å, b = 7.8022 Å, c = 8.9731 Å
α = 90.00°, β = 90.00°, γ = 109.24°
Closest atoms and distances in Å follow each position.
Sites, in units of the cell vectors:
Sb 0.0007 0.7508 0.3741  1 Pm 3.18, 5 Th 3.18-3.20
Sb 0.5000 0.2490 0.8756  2 Pm 3.17-3.18, 4 Th 3.18-3.19
Sb 0.0000 0.2490 0.1244  2 Pm 3.17-3.18, 4 Th 3.18-3.19
Sb 0.0000 0.7510 0.8756  2 Pm 3.17-3.18, 4 Th 3.18-3.19
Sb 0.9993 0.2492 0.6259  1 Pm 3.18, 5 Th 3.18-3.20
Sb 0.5000 0.7510 0.1244  2 Pm 3.17-3.18, 4 Th 3.18-3.19
Sb 0.4993 0.2492 0.3741  1 Pm 3.18, 5 Th 3.18-3.20
Sb 0.5007 0.7508 0.6259  1 Pm 3.18, 5 Th 3.18-3.20
Pm 0.2500 0.0000 0.1242  6 Sb 3.17-3.18
Pm 0.7500 0.0000 0.8758  6 Sb 3.17-3.18
Th 0.7500 0.5000 0.6254  6 Sb 3.18-3.20
Th 0.7500 0.5000 0.1246  6 Sb 3.18-3.19
Th 0.2500 0.5000 0.3746  6 Sb 3.18-3.20
Th 0.7500 0.0000 0.3746  6 Sb 3.18-3.19
Th 0.2500 0.0000 0.6254  6 Sb 3.18-3.19
Th 0.2500 0.5000 0.8754  6 Sb 3.18-3.19